Model P:
## KRb2NaBi (GGA-PBE)

Data for crystalline KRb2NaBi at its relaxed geometry.

Geometry as CIF:
```
data_KRb2NaBi
_chemical_formula_sum 'K1 Rb2 Na1 Bi1'
_space_group_name_H-M_alt 'P 1'
_space_group_IT_number 1
_cell_length_a 7.3463
_cell_length_b 7.3463
_cell_length_c 6.1134
_cell_angle_alpha 90.00
_cell_angle_beta 90.00
_cell_angle_gamma 90.00
loop_
_space_group_symop_operation_xyz
'x,y,z'
loop_
_atom_site_label
_atom_site_type_symbol
_atom_site_fract_x
_atom_site_fract_y
_atom_site_fract_z
Na1 Na 0.0000 0.0000 0.5000
K1 K 0.5000 0.5000 0.5000
Bi1 Bi 0.0000 0.0000 0.0000
Rb1 Rb 0.0000 0.5000 0.0000
Rb2 Rb 0.5000 0.0000 0.0000
```

**Calculated volume**: 329.93 Å³ per cell
**Spin magnetization**: 0.014 μB per cell
**Density**: 2.22 g/cm3
**SG**: P4/mmm

=====

Model Q:
## KRb2NaBi (GGA-PBE)

Data for crystalline KRb2NaBi at its relaxed geometry.

Geometry as CIF:
```
data_KRb2NaBi
_chemical_formula_sum 'K1 Rb2 Na1 Bi1'
_space_group_name_H-M_alt 'P 1'
_space_group_IT_number 1
_cell_length_a 7.2350
_cell_length_b 7.2350
_cell_length_c 6.9440
_cell_angle_alpha 90.00
_cell_angle_beta 90.00
_cell_angle_gamma 90.00
loop_
_space_group_symop_operation_xyz
'x,y,z'
loop_
_atom_site_label
_atom_site_type_symbol
_atom_site_fract_x
_atom_site_fract_y
_atom_site_fract_z
Na1 Na 0.5000 0.5000 0.5000
K1 K 0.0000 0.0000 0.5000
Bi1 Bi 0.0000 0.0000 0.0000
Rb1 Rb 0.0000 0.5000 0.0000
Rb2 Rb 0.5000 0.0000 0.0000
```

**Calculated volume**: 363.48 Å³ per cell
**Spin magnetization**: 1.040 μB per cell
**Density**: 2.02 g/cm3
**SG**: P4/mmm

=====

Most stable to least stable: model P, model Q

=====

Model P:
## KNbBi2 (GGA-PBE)

Data for crystalline KNbBi2 at its relaxed geometry.

Geometry as CIF:
```
data_KNbBi2
_chemical_formula_sum 'K2 Nb2 Bi4'
_space_group_name_H-M_alt 'P 1'
_space_group_IT_number 1
_cell_length_a 7.6667
_cell_length_b 7.6667
_cell_length_c 8.4201
_cell_angle_alpha 62.92
_cell_angle_beta 62.92
_cell_angle_gamma 90.00
loop_
_space_group_symop_operation_xyz
'x,y,z'
loop_
_atom_site_label
_atom_site_type_symbol
_atom_site_fract_x
_atom_site_fract_y
_atom_site_fract_z
K1 K 0.5000 0.5000 0.0000
K2 K 0.2500 0.7500 0.5000
Nb1 Nb 0.0000 0.0000 0.0000
Nb2 Nb 0.7500 0.2500 0.5000
Bi1 Bi 0.7375 0.1250 0.2500
Bi2 Bi 0.0125 0.6250 0.2500
Bi3 Bi 0.3750 0.2625 0.7500
Bi4 Bi 0.8750 0.9875 0.7500
```

**Calculated volume**: 378.70 Å³ per cell
**Spin magnetization**: 0.000 μB per cell
**Density**: 4.82 g/cm3
**SG**: I-42d

=====

Model Q:
## KNbBi2 (GGA-PBE)

Data for crystalline KNbBi2 at its relaxed geometry.

Geometry as CIF:
```
data_KNbBi2
_chemical_formula_sum 'K1 Nb1 Bi2'
_space_group_name_H-M_alt 'P 1'
_space_group_IT_number 1
_cell_length_a 5.3702
_cell_length_b 5.3702
_cell_length_c 5.3702
_cell_angle_alpha 60.00
_cell_angle_beta 60.00
_cell_angle_gamma 60.00
loop_
_space_group_symop_operation_xyz
'x,y,z'
loop_
_atom_site_label
_atom_site_type_symbol
_atom_site_fract_x
_atom_site_fract_y
_atom_site_fract_z
K1 K 0.0000 0.0000 0.0000
Nb1 Nb 0.5000 0.5000 0.5000
Bi1 Bi 0.2500 0.2500 0.2500
Bi2 Bi 0.7500 0.7500 0.7500
```

**Calculated volume**: 109.51 Å³ per cell
**Spin magnetization**: 1.811 μB per cell
**Density**: 8.34 g/cm3
**SG**: Fm-3m

=====

Most stable to least stable: model P, model Q

=====

Model P:
## KNiBi2 (GGA-PBE)

Data for crystalline KNiBi2 at its relaxed geometry.

Geometry as CIF:
```
data_KNiBi2
_chemical_formula_sum 'K1 Ni1 Bi2'
_space_group_name_H-M_alt 'P 1'
_space_group_IT_number 1
_cell_length_a 4.2170
_cell_length_b 4.2170
_cell_length_c 8.2232
_cell_angle_alpha 75.14
_cell_angle_beta 75.14
_cell_angle_gamma 60.00
loop_
_space_group_symop_operation_xyz
'x,y,z'
loop_
_atom_site_label
_atom_site_type_symbol
_atom_site_fract_x
_atom_site_fract_y
_atom_site_fract_z
Ni1 Ni 0.0000 0.0000 0.0000
K1 K 0.5000 0.5000 0.5000
Bi1 Bi 0.2834 0.2834 0.1497
Bi2 Bi 0.7166 0.7166 0.8503
```

**Calculated volume**: 120.97 Å³ per cell
**Spin magnetization**: 0.000 μB per cell
**Density**: 7.08 g/cm3
**SG**: R-3m

=====

Model Q:
## KNiBi2 (GGA-PBE)

Data for crystalline KNiBi2 at its relaxed geometry.

Geometry as CIF:
```
data_KNiBi2
_chemical_formula_sum 'K1 Ni1 Bi2'
_space_group_name_H-M_alt 'P 1'
_space_group_IT_number 1
_cell_length_a 3.4695
_cell_length_b 3.4695
_cell_length_c 9.1068
_cell_angle_alpha 90.00
_cell_angle_beta 90.00
_cell_angle_gamma 90.00
loop_
_space_group_symop_operation_xyz
'x,y,z'
loop_
_atom_site_label
_atom_site_type_symbol
_atom_site_fract_x
_atom_site_fract_y
_atom_site_fract_z
Ni1 Ni 0.5000 0.5000 0.0000
K1 K 0.5000 0.5000 0.5000
Bi1 Bi 0.0000 0.0000 0.8220
Bi2 Bi 0.0000 0.0000 0.1780
```

**Calculated volume**: 109.62 Å³ per cell
**Spin magnetization**: 0.000 μB per cell
**Density**: 7.81 g/cm3
**SG**: P4/mmm

=====

Model R:
## KNiBi2 (GGA-PBE)

Data for crystalline KNiBi2 at its relaxed geometry.

Geometry as CIF:
```
data_KNiBi2
_chemical_formula_sum 'K2 Ni2 Bi4'
_space_group_name_H-M_alt 'P 1'
_space_group_IT_number 1
_cell_length_a 6.2520
_cell_length_b 6.2520
_cell_length_c 9.2753
_cell_angle_alpha 70.30
_cell_angle_beta 70.30
_cell_angle_gamma 90.00
loop_
_space_group_symop_operation_xyz
'x,y,z'
loop_
_atom_site_label
_atom_site_type_symbol
_atom_site_fract_x
_atom_site_fract_y
_atom_site_fract_z
Ni1 Ni 0.0000 0.0000 0.0000
Ni2 Ni 0.7500 0.2500 0.5000
K1 K 0.5000 0.5000 0.0000
K2 K 0.2500 0.7500 0.5000
Bi1 Bi 0.8781 0.1250 0.2500
Bi2 Bi 0.8719 0.6250 0.2500
Bi3 Bi 0.3750 0.1219 0.7500
Bi4 Bi 0.8750 0.1281 0.7500
```

**Calculated volume**: 318.72 Å³ per cell
**Spin magnetization**: 0.000 μB per cell
**Density**: 5.37 g/cm3
**SG**: I-42d

=====

Model S:
## KNiBi2 (GGA-PBE)

Data for crystalline KNiBi2 at its relaxed geometry.

Geometry as CIF:
```
data_KNiBi2
_chemical_formula_sum 'K1 Ni1 Bi2'
_space_group_name_H-M_alt 'P 1'
_space_group_IT_number 1
_cell_length_a 5.2478
_cell_length_b 5.2478
_cell_length_c 5.2478
_cell_angle_alpha 60.00
_cell_angle_beta 60.00
_cell_angle_gamma 60.00
loop_
_space_group_symop_operation_xyz
'x,y,z'
loop_
_atom_site_label
_atom_site_type_symbol
_atom_site_fract_x
_atom_site_fract_y
_atom_site_fract_z
Ni1 Ni 0.5000 0.5000 0.5000
K1 K 0.0000 0.0000 0.0000
Bi1 Bi 0.2500 0.2500 0.2500
Bi2 Bi 0.7500 0.7500 0.7500
```

**Calculated volume**: 102.19 Å³ per cell
**Spin magnetization**: 0.000 μB per cell
**Density**: 8.38 g/cm3
**SG**: Fm-3m

=====

Most stable to least stable: model P, model Q, model R, model S

=====

Model P:
## KNi2Bi (GGA-PBE)

Data for crystalline KNi2Bi at its relaxed geometry.

Geometry as CIF:
```
data_KNi2Bi
_chemical_formula_sum 'K1 Ni2 Bi1'
_space_group_name_H-M_alt 'P 1'
_space_group_IT_number 1
_cell_length_a 4.8102
_cell_length_b 4.8102
_cell_length_c 4.8102
_cell_angle_alpha 60.00
_cell_angle_beta 60.00
_cell_angle_gamma 60.00
loop_
_space_group_symop_operation_xyz
'x,y,z'
loop_
_atom_site_label
_atom_site_type_symbol
_atom_site_fract_x
_atom_site_fract_y
_atom_site_fract_z
Ni1 Ni 0.2500 0.2500 0.2500
Ni2 Ni 0.7500 0.7500 0.7500
K1 K 0.0000 0.0000 0.0000
Bi1 Bi 0.5000 0.5000 0.5000
```

**Calculated volume**: 78.70 Å³ per cell
**Spin magnetization**: 0.000 μB per cell
**Density**: 7.71 g/cm3
**SG**: Fm-3m

=====

Model Q:
## KNi2Bi (GGA-PBE)

Data for crystalline KNi2Bi at its relaxed geometry.

Geometry as CIF:
```
data_KNi2Bi
_chemical_formula_sum 'K2 Ni4 Bi2'
_space_group_name_H-M_alt 'P 1'
_space_group_IT_number 1
_cell_length_a 7.8633
_cell_length_b 7.8633
_cell_length_c 6.5602
_cell_angle_alpha 53.18
_cell_angle_beta 53.18
_cell_angle_gamma 90.00
loop_
_space_group_symop_operation_xyz
'x,y,z'
loop_
_atom_site_label
_atom_site_type_symbol
_atom_site_fract_x
_atom_site_fract_y
_atom_site_fract_z
Ni1 Ni 0.7086 0.1250 0.2500
Ni2 Ni 0.0414 0.6250 0.2500
Ni3 Ni 0.3750 0.2914 0.7500
Ni4 Ni 0.8750 0.9586 0.7500
K1 K 0.5000 0.5000 0.0000
K2 K 0.2500 0.7500 0.5000
Bi1 Bi 0.0000 0.0000 0.0000
Bi2 Bi 0.7500 0.2500 0.5000
```

**Calculated volume**: 215.26 Å³ per cell
**Spin magnetization**: 0.000 μB per cell
**Density**: 5.64 g/cm3
**SG**: I-42d

=====

Most stable to least stable: model P, model Q

=====

Model P:
## K2BiO (GGA-PBE)

Data for crystalline K2BiO at its relaxed geometry.

Geometry as CIF:
```
data_K2BiO
_chemical_formula_sum 'K4 Bi2 O2'
_space_group_name_H-M_alt 'P 1'
_space_group_IT_number 1
_cell_length_a 10.8527
_cell_length_b 10.8527
_cell_length_c 8.0338
_cell_angle_alpha 47.51
_cell_angle_beta 47.51
_cell_angle_gamma 90.00
loop_
_space_group_symop_operation_xyz
'x,y,z'
loop_
_atom_site_label
_atom_site_type_symbol
_atom_site_fract_x
_atom_site_fract_y
_atom_site_fract_z
K1 K 0.4426 0.1250 0.2500
K2 K 0.3074 0.6250 0.2500
K3 K 0.3750 0.5574 0.7500
K4 K 0.8750 0.6926 0.7500
Bi1 Bi 0.0000 0.0000 0.0000
Bi2 Bi 0.7500 0.2500 0.5000
O1 O 0.5000 0.5000 0.0000
O2 O 0.2500 0.7500 0.5000
```

**Calculated volume**: 280.02 Å³ per cell
**Spin magnetization**: 0.000 μB per cell
**Density**: 3.60 g/cm3
**SG**: I-42d

=====

Model Q:
## K2BiO (GGA-PBE)

Data for crystalline K2BiO at its relaxed geometry.

Geometry as CIF:
```
data_K2BiO
_chemical_formula_sum 'K2 Bi1 O1'
_space_group_name_H-M_alt 'P 1'
_space_group_IT_number 1
_cell_length_a 5.7093
_cell_length_b 5.7093
_cell_length_c 5.7093
_cell_angle_alpha 60.00
_cell_angle_beta 60.00
_cell_angle_gamma 60.00
loop_
_space_group_symop_operation_xyz
'x,y,z'
loop_
_atom_site_label
_atom_site_type_symbol
_atom_site_fract_x
_atom_site_fract_y
_atom_site_fract_z
K1 K 0.2500 0.2500 0.2500
K2 K 0.7500 0.7500 0.7500
Bi1 Bi 0.5000 0.5000 0.5000
O1 O 0.0000 0.0000 0.0000
```

**Calculated volume**: 131.59 Å³ per cell
**Spin magnetization**: 3.000 μB per cell
**Density**: 3.83 g/cm3
**SG**: Fm-3m

=====

Most stable to least stable: model P, model Q

=====

Model P:
## K2Bi2O (GGA-PBE)

Data for crystalline K2Bi2O at its relaxed geometry.

Geometry as CIF:
```
data_K2Bi2O
_chemical_formula_sum 'K4 Bi4 O2'
_space_group_name_H-M_alt 'P 1'
_space_group_IT_number 1
_cell_length_a 7.0126
_cell_length_b 7.0126
_cell_length_c 6.0213
_cell_angle_alpha 90.00
_cell_angle_beta 90.00
_cell_angle_gamma 90.00
loop_
_space_group_symop_operation_xyz
'x,y,z'
loop_
_atom_site_label
_atom_site_type_symbol
_atom_site_fract_x
_atom_site_fract_y
_atom_site_fract_z
K1 K 0.1625 0.6625 0.5000
K2 K 0.6625 0.8375 0.5000
K3 K 0.8375 0.3375 0.5000
K4 K 0.3375 0.1625 0.5000
Bi1 Bi 0.3296 0.8296 0.0000
Bi2 Bi 0.8296 0.6704 0.0000
Bi3 Bi 0.6704 0.1704 0.0000
Bi4 Bi 0.1704 0.3296 0.0000
O1 O 0.0000 0.0000 0.0000
O2 O 0.5000 0.5000 0.0000
```

**Calculated volume**: 296.11 Å³ per cell
**Spin magnetization**: 0.000 μB per cell
**Density**: 5.74 g/cm3
**SG**: P4/mbm

=====

Model Q:
## K2Bi2O (GGA-PBE)

Data for crystalline K2Bi2O at its relaxed geometry.

Geometry as CIF:
```
data_K2Bi2O
_chemical_formula_sum 'K2 Bi2 O1'
_space_group_name_H-M_alt 'P 1'
_space_group_IT_number 1
_cell_length_a 7.1180
_cell_length_b 7.1180
_cell_length_c 6.2902
_cell_angle_alpha 55.54
_cell_angle_beta 55.54
_cell_angle_gamma 90.00
loop_
_space_group_symop_operation_xyz
'x,y,z'
loop_
_atom_site_label
_atom_site_type_symbol
_atom_site_fract_x
_atom_site_fract_y
_atom_site_fract_z
K1 K 0.7500 0.2500 0.5000
K2 K 0.2500 0.7500 0.5000
Bi1 Bi 0.2956 0.2956 0.4088
Bi2 Bi 0.7044 0.7044 0.5912
O1 O 0.0000 0.0000 0.0000
```

**Calculated volume**: 191.15 Å³ per cell
**Spin magnetization**: 0.000 μB per cell
**Density**: 4.45 g/cm3
**SG**: I4/mmm

=====

Most stable to least stable: model P, model Q

=====

Model P:
## K4BiO5 (GGA-PBE)

Data for crystalline K4BiO5 at its relaxed geometry.

Geometry as CIF:
```
data_K4BiO5
_chemical_formula_sum 'K4 Bi1 O5'
_space_group_name_H-M_alt 'P 1'
_space_group_IT_number 1
_cell_length_a 4.3952
_cell_length_b 7.4242
_cell_length_c 7.4242
_cell_angle_alpha 84.97
_cell_angle_beta 72.78
_cell_angle_gamma 72.78
loop_
_space_group_symop_operation_xyz
'x,y,z'
loop_
_atom_site_label
_atom_site_type_symbol
_atom_site_fract_x
_atom_site_fract_y
_atom_site_fract_z
K1 K 0.7495 0.6494 0.8495
K2 K 0.5990 0.1505 0.6494
K3 K 0.3989 0.8495 0.3506
K4 K 0.2484 0.3506 0.1505
Bi1 Bi 0.9990 0.0000 0.0000
O1 O 0.0735 0.7263 0.1247
O2 O 0.1982 0.8753 0.7263
O3 O 0.7997 0.1247 0.2737
O4 O 0.9244 0.2737 0.8753
O5 O 0.4990 0.0000 0.0000
```

**Calculated volume**: 221.03 Å³ per cell
**Spin magnetization**: 1.061 μB per cell
**Density**: 3.35 g/cm3
**SG**: I4/m

=====

Model Q:
## K4BiO5 (GGA-PBE)

Data for crystalline K4BiO5 at its relaxed geometry.

Geometry as CIF:
```
data_K4BiO5
_chemical_formula_sum 'K4 Bi1 O5'
_space_group_name_H-M_alt 'P 1'
_space_group_IT_number 1
_cell_length_a 5.8405
_cell_length_b 6.5632
_cell_length_c 6.5632
_cell_angle_alpha 78.58
_cell_angle_beta 63.58
_cell_angle_gamma 63.58
loop_
_space_group_symop_operation_xyz
'x,y,z'
loop_
_atom_site_label
_atom_site_type_symbol
_atom_site_fract_x
_atom_site_fract_y
_atom_site_fract_z
K1 K 0.4313 0.3843 0.7946
K2 K 0.8156 0.7946 0.6157
K3 K 0.2259 0.2054 0.3843
K4 K 0.6102 0.6157 0.2054
Bi1 Bi 0.0612 0.0000 0.0000
O1 O 0.9143 0.3136 0.8350
O2 O 0.2278 0.8350 0.6864
O3 O 0.7493 0.1650 0.3136
O4 O 0.0628 0.6864 0.1650
O5 O 0.4121 0.0000 0.0000
```

**Calculated volume**: 201.78 Å³ per cell
**Spin magnetization**: 1.091 μB per cell
**Density**: 3.67 g/cm3
**SG**: I4

=====

Most stable to least stable: model Q, model P

=====

Model P:
## KSr2BiO (GGA-PBE)

Data for crystalline KSr2BiO at its relaxed geometry.

Geometry as CIF:
```
data_KSr2BiO
_chemical_formula_sum 'K1 Sr2 Bi1 O1'
_space_group_name_H-M_alt 'P 1'
_space_group_IT_number 1
_cell_length_a 6.6843
_cell_length_b 4.7421
_cell_length_c 6.6843
_cell_angle_alpha 90.00
_cell_angle_beta 90.00
_cell_angle_gamma 90.00
loop_
_space_group_symop_operation_xyz
'x,y,z'
loop_
_atom_site_label
_atom_site_type_symbol
_atom_site_fract_x
_atom_site_fract_y
_atom_site_fract_z
Sr1 Sr 0.0000 0.0000 0.5000
Sr2 Sr 0.5000 0.0000 0.0000
K1 K 0.5000 0.5000 0.5000
Bi1 Bi 0.0000 0.0000 0.0000
O1 O 0.0000 0.5000 0.0000
```

**Calculated volume**: 211.88 Å³ per cell
**Spin magnetization**: 0.000 μB per cell
**Density**: 3.44 g/cm3
**SG**: P4/mmm

=====

Model Q:
## KSr2BiO (GGA-PBE)

Data for crystalline KSr2BiO at its relaxed geometry.

Geometry as CIF:
```
data_KSr2BiO
_chemical_formula_sum 'K1 Sr2 Bi1 O1'
_space_group_name_H-M_alt 'P 1'
_space_group_IT_number 1
_cell_length_a 5.2069
_cell_length_b 5.2069
_cell_length_c 5.2396
_cell_angle_alpha 90.00
_cell_angle_beta 90.00
_cell_angle_gamma 90.00
loop_
_space_group_symop_operation_xyz
'x,y,z'
loop_
_atom_site_label
_atom_site_type_symbol
_atom_site_fract_x
_atom_site_fract_y
_atom_site_fract_z
Sr1 Sr 0.0000 0.5000 0.0000
Sr2 Sr 0.5000 0.0000 0.0000
K1 K 0.0000 0.0000 0.5000
Bi1 Bi 0.5000 0.5000 0.5000
O1 O 0.0000 0.0000 0.0000
```

**Calculated volume**: 142.05 Å³ per cell
**Spin magnetization**: 0.000 μB per cell
**Density**: 5.14 g/cm3
**SG**: P4/mmm

=====

Most stable to least stable: model Q, model P